# SCAN Rb3TcOs, single point on PBEsol structure
data_Rb3TcOs
_chemical_formula_sum 'Rb3 Tc1 Os1'
_cell_length_a 6.2016
_cell_length_b 6.2016
_cell_length_c 6.2016
_cell_angle_alpha 90.00
_cell_angle_beta 90.00
_cell_angle_gamma 90.00
_space_group_name_H-M_alt 'P 1'
_space_group_IT_number 1
_space_group_name_Hall 'P 1'
loop_
_atom_site_label
_atom_site_type_symbol
_atom_site_fract_x
_atom_site_fract_y
_atom_site_fract_z
Os1 Os 0.0000 0.0000 0.0000
Rb1 Rb 0.5000 0.0000 0.0000
Rb2 Rb 0.0000 0.5000 0.0000
Tc1 Tc 0.5000 0.5000 0.5000
Rb3 Rb 0.0000 0.0000 0.5000
# E_tot, eV per atom: -31.77
# V, Å³ per cell: 239
# Crystal system: cubic
# Fermi-level density of states, states/eV/f.u.: 4.800

---

# SCAN Re2RhPb, single point on PBEsol structure
data_Re2RhPb
_chemical_formula_sum 'Re2 Rh1 Pb1'
_cell_length_a 2.8964
_cell_length_b 5.0089
_cell_length_c 5.0089
_cell_angle_alpha 116.78
_cell_angle_beta 90.00
_cell_angle_gamma 90.00
_space_group_name_H-M_alt 'P 1'
_space_group_IT_number 1
_space_group_name_Hall 'P 1'
loop_
_atom_site_label
_atom_site_type_symbol
_atom_site_fract_x
_atom_site_fract_y
_atom_site_fract_z
Pb1 Pb 0.5000 0.5000 0.5000
Re1 Re 0.0000 0.5000 0.0000
Re2 Re 0.0000 0.0000 0.5000
Rh1 Rh 0.5000 0.0000 0.0000
# E_tot, eV per atom: -62.04
# V, Å³ per cell: 65
# Crystal system: orthorhombic
# Fermi-level density of states, states/eV/f.u.: 3.920

---

# SCAN Cs2RbNa, single point on PBEsol structure
data_Cs2RbNa
_chemical_formula_sum 'Cs4 Rb2 Na2'
_cell_length_a 9.1147
_cell_length_b 9.7431
_cell_length_c 9.7431
_cell_angle_alpha 77.36
_cell_angle_beta 62.11
_cell_angle_gamma 62.11
_space_group_name_H-M_alt 'P 1'
_space_group_IT_number 1
_space_group_name_Hall 'P 1'
loop_
_atom_site_label
_atom_site_type_symbol
_atom_site_fract_x
_atom_site_fract_y
_atom_site_fract_z
Cs1 Cs 0.3750 0.4600 0.0400
Rb1 Rb 0.0000 0.0000 0.0000
Cs2 Cs 0.5850 0.0400 0.5400
Na1 Na 0.5000 0.0000 0.0000
Rb2 Rb 0.7500 0.5000 0.5000
Cs3 Cs 0.8750 0.5400 0.9600
Cs4 Cs 0.1650 0.9600 0.4600
Na2 Na 0.2500 0.5000 0.5000
# E_tot, eV per atom: -25.07
# V, Å³ per cell: 676
# Crystal system: tetragonal
# Fermi-level density of states, states/eV/f.u.: 3.464

---

# SCAN BaTcS3, single point on PBEsol structure
data_BaTcS3
_chemical_formula_sum 'Ba1 Tc1 S3'
_cell_length_a 4.7034
_cell_length_b 4.7034
_cell_length_c 4.7034
_cell_angle_alpha 90.00
_cell_angle_beta 90.00
_cell_angle_gamma 90.00
_space_group_name_H-M_alt 'P 1'
_space_group_IT_number 1
_space_group_name_Hall 'P 1'
loop_
_atom_site_label
_atom_site_type_symbol
_atom_site_fract_x
_atom_site_fract_y
_atom_site_fract_z
S1 S 0.0000 0.5000 0.0000
Tc1 Tc 0.0000 0.0000 0.0000
S2 S 0.0000 0.0000 0.5000
Ba1 Ba 0.5000 0.5000 0.5000
S3 S 0.5000 0.0000 0.0000
# E_tot, eV per atom: -21.75
# V, Å³ per cell: 104
# Uncorrected formation energy, eV per atom: -1.055
# Crystal system: cubic
# Fermi-level density of states, states/eV/f.u.: 3.487